[1]
An optimized crystal structure of LaI3O9. Source: the Alexandria database, functional PBE.

uncorrected energy = -5.170 eV per atom
size of the total moment = 0.00 μB/cell
uncorrected formation energy = -1.001 eV per atom
energy above the most stable polymorph in this dataset = 0.0 kJ/mol of atoms

Cell lengths 7.2824, 7.2824, 28.2065 Å; angles 80.36, 80.36, 59.41 degrees
Closest atoms and distances in Å follow each position.
Sites, in units of the cell vectors:
La 0.3524 0.1794 0.4066  6 O 2.40-2.64
La 0.1754 0.9660 0.1293  6 O 2.39-2.62
La 0.9660 0.1754 0.6293  6 O 2.39-2.62
La 0.7610 0.8915 0.2656  9 O 2.51-2.81
La 0.1794 0.3524 0.9066  6 O 2.40-2.64
La 0.8915 0.7610 0.7656  9 O 2.51-2.81
I 0.8299 0.6631 0.1507  3 O 1.82-1.87
I 0.6631 0.8299 0.6507  3 O 1.82-1.87
I 0.1609 0.4683 0.5249  3 O 1.82-1.85
I 0.3878 0.5023 0.2910  3 O 1.83-1.85
I 0.5023 0.3878 0.7910  3 O 1.83-1.85
I 0.9330 0.9885 0.8790  3 O 1.82-1.87
I 0.5250 0.7760 0.5249  3 O 1.83-1.86
I 0.3023 0.5468 0.6508  3 O 1.82-1.87
I 0.5784 0.7081 0.8778  3 O 1.81-1.87
I 0.8849 0.1016 0.5001  3 O 1.83-1.85
I 0.1618 0.1329 0.7424  3 O 1.83-1.86
I 0.5468 0.3023 0.1508  3 O 1.82-1.87
I 0.9885 0.9330 0.3790  3 O 1.82-1.87
I 0.4683 0.1609 0.0249  3 O 1.82-1.85
I 0.1016 0.8849 0.0001  3 O 1.83-1.85
I 0.1329 0.1618 0.2424  3 O 1.83-1.86
I 0.7760 0.5250 0.0249  3 O 1.83-1.86
I 0.7081 0.5784 0.3778  3 O 1.81-1.87
O 0.2326 0.2075 0.0686  1 I 1.85
O 0.2382 0.2111 0.6794  1 I 1.86
O 0.5662 0.2603 0.2169  1 I 1.85
O 0.7489 0.1829 0.4003  1 I 1.87
O 0.5603 0.8327 0.4581  1 I 1.86
O 0.8655 0.8849 0.1648  1 I 1.87
O 0.2186 0.4811 0.8121  1 I 1.84
O 0.0300 0.8431 0.4732  1 I 1.85
O 0.7389 0.5330 0.3144  1 I 1.83
O 0.5818 0.3343 0.6472  1 I 1.82
O 0.9591 0.9990 0.3133  1 I 1.86
O 0.3150 0.5734 0.3540  1 I 1.85
O 0.3080 0.5502 0.5544  1 I 1.82
O 0.7347 0.4950 0.5316  1 I 1.83
O 0.9440 0.3944 0.7588  1 I 1.83
O 0.3628 0.3487 0.4737  1 I 1.85
O 0.3357 0.7872 0.6311  1 I 1.87
O 0.0915 0.1766 0.4776  1 I 1.83
O 0.0407 0.0011 0.2199  1 I 1.85
O 0.1829 0.7489 0.9003  1 I 1.87
O 0.9844 0.4634 0.3900  1 I 1.81
O 0.8563 0.6648 0.8607  1 I 1.87
O 0.4811 0.2186 0.3121  1 I 1.84
O 0.3944 0.9440 0.2588  1 I 1.83
O 0.8385 0.5572 0.6344  1 I 1.82
O 0.0179 0.9474 0.0629  1 I 1.83
O 0.5854 0.7847 0.7148  1 I 1.83
O 0.1766 0.0915 0.9776  1 I 1.83
O 0.2075 0.2326 0.5686  1 I 1.85
O 0.3343 0.5818 0.1472  1 I 1.82
O 0.1276 0.5704 0.2735  1 I 1.83
O 0.5330 0.7389 0.8144  1 I 1.83
O 0.2603 0.5662 0.7169  1 I 1.85
O 0.2011 0.9967 0.3781  1 I 1.82
O 0.7847 0.5854 0.2148  1 I 1.83
O 0.4950 0.7347 0.0316  1 I 1.83
O 0.3487 0.3628 0.9737  1 I 1.85
O 0.8924 0.6665 0.0449  1 I 1.83
O 0.9967 0.2011 0.8781  1 I 1.82
O 0.0011 0.0407 0.7199  1 I 1.85
O 0.9474 0.0179 0.5629  1 I 1.83
O 0.7872 0.3357 0.1311  1 I 1.87
O 0.2111 0.2382 0.1794  1 I 1.86
O 0.4634 0.9844 0.8900  1 I 1.81
O 0.8431 0.0300 0.9732  1 I 1.85
O 0.5734 0.3150 0.8540  1 I 1.85
O 0.9990 0.9591 0.8133  1 I 1.86
O 0.6648 0.8563 0.3607  1 I 1.87
O 0.8849 0.8655 0.6648  1 I 1.87
O 0.8327 0.5603 0.9581  1 I 1.86
O 0.5704 0.1276 0.7735  1 I 1.83
O 0.6665 0.8924 0.5449  1 I 1.83
O 0.5502 0.3080 0.0544  1 I 1.82
O 0.5572 0.8385 0.1344  1 I 1.82

---

[2]
An optimized crystal structure of La2IO2. Source: the Alexandria database, functional PBE.

uncorrected energy = -6.567 eV per atom
size of the total moment = 0.23 μB/cell
uncorrected formation energy = -2.303 eV per atom
energy above the most stable polymorph in this dataset = 46.2 kJ/mol of atoms

Cell lengths 4.0054, 4.0054, 7.0814 Å; angles 90.00, 90.00, 90.00 degrees
Closest atoms and distances in Å follow each position.
Sites, in units of the cell vectors:
La 0.5000 0.5000 0.7001  4 O 2.45
La 0.5000 0.5000 0.2999  4 O 2.45
I 0.0000 0.0000 0.0000  8 La 3.54
O 0.5000 0.0000 0.5000  4 La 2.45
O 0.0000 0.5000 0.5000  4 La 2.45